Record 1
! LaTlW2N, PBEsol geometry, DFT SCAN; values from VASP
! formation energy (no corrections)	0.333	eV per atom
! symmetry	P4/mmm
! total energy	-52.493	eV/atom
&SYSTEM
  ibrav = 0, nat = 5, ntyp = 4
/
ATOMIC_SPECIES
La 138.91 La.upf
Tl 204.38 Tl.upf
W 183.84 W.upf
N 14.01 N.upf
ATOMIC_POSITIONS crystal
La 0.000 0.000 0.000
Tl 0.500 0.500 0.000
W 0.000 0.500 0.500
W 0.500 0.000 0.500
N 0.000 0.000 0.500
CELL_PARAMETERS angstrom
4.219 0.000 0.000
0.000 4.219 0.000
0.000 0.000 5.040

---

Record 2
! InCo2Os, PBEsol geometry, DFT SCAN; values from VASP
! symmetry	F-43m
! energy relative to the elements	0.412	eV per atom
! total energy	-34.557	eV/atom
&SYSTEM
  ibrav = 0, nat = 16, ntyp = 3
/
ATOMIC_SPECIES
In 114.82 In.upf
Co 58.93 Co.upf
Os 190.23 Os.upf
ATOMIC_POSITIONS crystal
In 0.000 0.000 0.000
In 0.000 0.500 0.500
In 0.500 0.000 0.500
In 0.500 0.500 0.000
Co 0.000 0.000 0.500
Co 0.000 0.500 0.000
Co 0.250 0.250 0.250
Co 0.250 0.750 0.750
Co 0.500 0.000 0.000
Co 0.500 0.500 0.500
Co 0.750 0.250 0.750
Co 0.750 0.750 0.250
Os 0.250 0.250 0.750
Os 0.250 0.750 0.250
Os 0.750 0.250 0.250
Os 0.750 0.750 0.750
CELL_PARAMETERS angstrom
6.036 0.000 0.000
0.000 6.036 0.000
0.000 0.000 6.036

---

Record 3
! MnBe2Cl, PBEsol geometry, DFT SCAN; values from VASP
! formation energy (no corrections)	0.439	eV per atom
! symmetry	P4/mmm
! total energy	-8.296	eV/atom
&SYSTEM
  ibrav = 0, nat = 4, ntyp = 3
/
ATOMIC_SPECIES
Mn 54.94 Mn.upf
Be 9.01 Be.upf
Cl 35.45 Cl.upf
ATOMIC_POSITIONS crystal
Mn 0.000 0.000 0.000
Be 0.000 0.500 0.500
Be 0.500 0.000 0.500
Cl 0.500 0.500 0.000
CELL_PARAMETERS angstrom
4.096 0.000 0.000
0.000 4.096 0.000
0.000 0.000 2.799

---

Record 4
! Tc2Ru2Se, PBEsol geometry, DFT SCAN; values from VASP
! formation energy (no corrections)	0.497	eV per atom
! symmetry	I4/mmm
! total energy	-31.474	eV/atom
&SYSTEM
  ibrav = 0, nat = 10, ntyp = 3
/
ATOMIC_SPECIES
Tc 98.00 Tc.upf
Ru 101.07 Ru.upf
Se 78.96 Se.upf
ATOMIC_POSITIONS crystal
Tc 0.000 0.000 0.104
Tc 0.000 0.000 0.896
Tc 0.500 0.500 0.396
Tc 0.500 0.500 0.604
Ru 0.000 0.500 0.250
Ru 0.000 0.500 0.750
Ru 0.500 0.000 0.250
Ru 0.500 0.000 0.750
Se 0.000 0.000 0.500
Se 0.500 0.500 0.000
CELL_PARAMETERS angstrom
3.478 0.000 0.000
0.000 3.478 0.000
0.000 0.000 12.859

---

Record 5
! Mg3ZnRu, PBEsol geometry, DFT SCAN; values from VASP
! symmetry	Pm-3m
! energy relative to the elements	0.503	eV per atom
! total energy	-12.150	eV/atom
&SYSTEM
  ibrav = 0, nat = 5, ntyp = 3
/
ATOMIC_SPECIES
Mg 24.30 Mg.upf
Zn 65.41 Zn.upf
Ru 101.07 Ru.upf
ATOMIC_POSITIONS crystal
Mg 0.000 0.000 0.500
Mg 0.000 0.500 0.000
Mg 0.500 0.000 0.000
Zn 0.500 0.500 0.500
Ru 0.000 0.000 0.000
CELL_PARAMETERS angstrom
4.884 0.000 0.000
0.000 4.884 0.000
0.000 0.000 4.884

---

Record 6
! EuGa3Ni2, PBEsol geometry, DFT SCAN; values from VASP
! symmetry	Cmcm
! energy relative to the elements	-0.588	eV per atom
! total energy	-23.104	eV/atom
&SYSTEM
  ibrav = 0, nat = 12, ntyp = 3
/
ATOMIC_SPECIES
Eu 151.96 Eu.upf
Ga 69.72 Ga.upf
Ni 58.69 Ni.upf
ATOMIC_POSITIONS crystal
Eu 0.154 0.846 0.750
Eu 0.846 0.154 0.250
Ga 0.031 0.588 0.250
Ga 0.412 0.969 0.250
Ga 0.445 0.555 0.250
Ga 0.555 0.445 0.750
Ga 0.588 0.031 0.750
Ga 0.969 0.412 0.750
Ni 0.293 0.293 0.000
Ni 0.293 0.293 0.500
Ni 0.707 0.707 0.000
Ni 0.707 0.707 0.500
CELL_PARAMETERS angstrom
4.909 -3.869 0.000
4.909 3.869 0.000
0.000 0.000 5.071

---

Record 7
! TaTiTc2, PBEsol geometry, DFT SCAN; values from VASP
! symmetry	Fm-3m
! energy relative to the elements	-0.635	eV per atom
! total energy	-38.819	eV/atom
&SYSTEM
  ibrav = 0, nat = 16, ntyp = 3
/
ATOMIC_SPECIES
Ta 180.95 Ta.upf
Ti 47.87 Ti.upf
Tc 98.00 Tc.upf
ATOMIC_POSITIONS crystal
Ta 0.000 0.000 0.000
Ta 0.000 0.500 0.500
Ta 0.500 0.000 0.500
Ta 0.500 0.500 0.000
Ti 0.000 0.000 0.500
Ti 0.000 0.500 0.000
Ti 0.500 0.000 0.000
Ti 0.500 0.500 0.500
Tc 0.250 0.250 0.250
Tc 0.250 0.250 0.750
Tc 0.250 0.750 0.250
Tc 0.250 0.750 0.750
Tc 0.750 0.250 0.250
Tc 0.750 0.250 0.750
Tc 0.750 0.750 0.250
Tc 0.750 0.750 0.750
CELL_PARAMETERS angstrom
6.220 0.000 0.000
0.000 6.220 0.000
0.000 0.000 6.220

---

Record 8
! Li2MgRh, PBEsol geometry, DFT SCAN; values from VASP
! symmetry	Pmmm
! energy relative to the elements	-0.243	eV per atom
! total energy	-11.124	eV/atom
&SYSTEM
  ibrav = 0, nat = 4, ntyp = 3
/
ATOMIC_SPECIES
Li 6.94 Li.upf
Mg 24.30 Mg.upf
Rh 102.91 Rh.upf
ATOMIC_POSITIONS crystal
Li 0.000 0.000 0.000
Li 0.500 0.500 0.000
Mg 0.000 0.500 0.500
Rh 0.500 0.000 0.500
CELL_PARAMETERS angstrom
3.200 0.000 0.000
0.000 4.185 0.000
0.000 0.000 4.402

---

Record 9
! FeBi3Mo, PBEsol geometry, DFT SCAN; values from VASP
! symmetry	Pm-3m
! energy relative to the elements	1.132	eV per atom
! total energy	-56.619	eV/atom
&SYSTEM
  ibrav = 0, nat = 5, ntyp = 3
/
ATOMIC_SPECIES
Fe 55.84 Fe.upf
Bi 208.98 Bi.upf
Mo 95.94 Mo.upf
ATOMIC_POSITIONS crystal
Fe 0.000 0.000 0.000
Bi 0.000 0.000 0.500
Bi 0.000 0.500 0.000
Bi 0.500 0.000 0.000
Mo 0.500 0.500 0.500
CELL_PARAMETERS angstrom
5.010 0.000 0.000
0.000 5.010 0.000
0.000 0.000 5.010

---

Record 10
! CoTeAu4, PBEsol geometry, DFT SCAN; values from VASP
! formation energy (no corrections)	0.355	eV per atom
! symmetry	F-43m
! total energy	-54.842	eV/atom
&SYSTEM
  ibrav = 0, nat = 6, ntyp = 3
/
ATOMIC_SPECIES
Co 58.93 Co.upf
Te 127.60 Te.upf
Au 196.97 Au.upf
ATOMIC_POSITIONS crystal
Co 0.000 0.000 0.000
Te 0.250 0.250 0.250
Au 0.124 0.625 0.625
Au 0.625 0.124 0.625
Au 0.625 0.625 0.124
Au 0.625 0.625 0.625
CELL_PARAMETERS angstrom
0.000 3.838 3.838
3.838 0.000 3.838
3.838 3.838 0.000

---

Record 11
! InPb4, PBEsol geometry, DFT SCAN; values from VASP
! symmetry	I4/m
! energy relative to the elements	0.023	eV per atom
! total energy	-67.280	eV/atom
&SYSTEM
  ibrav = 0, nat = 10, ntyp = 2
/
ATOMIC_SPECIES
In 114.82 In.upf
Pb 207.20 Pb.upf
ATOMIC_POSITIONS crystal
In 0.000 0.000 0.000
In 0.500 0.500 0.500
Pb 0.100 0.297 0.500
Pb 0.203 0.600 0.000
Pb 0.297 0.900 0.500
Pb 0.400 0.203 0.000
Pb 0.600 0.797 0.000
Pb 0.703 0.100 0.500
Pb 0.797 0.400 0.000
Pb 0.900 0.703 0.500
CELL_PARAMETERS angstrom
7.715 0.000 0.000
0.000 7.715 0.000
0.000 0.000 4.846

---

Among the records above, which one has the highest total energy?
MnBe2Cl